Computed, not measured: Ca3Mo2O7 after structural relaxation at the PBE with a Hubbard U level of DFT.

Cell lengths 19.6260, 5.5903, 5.8060 Å; angles 90.00, 90.00, 90.00 degrees
With the nearest neighbours (Å) after each atom.
Space group Cmc2_1 (No. 36)
Unique sites:
Ca  0.0000  0.2414  0.0000 (multiplicity 4)  4 O 2.34-2.41
Ca  0.1900  0.2417  0.8857 (multiplicity 8)  5 O 2.29-2.52
Mo  0.1007  0.2505  0.4447 (multiplicity 8)  6 O 2.03-2.16
O  0.0000  0.3532  0.4008 (multiplicity 4)  2 Mo 2.07
O  0.0802  0.0499  0.7550 (multiplicity 8)  2 Mo 2.05-2.16
O  0.1200  0.4504  0.1381 (multiplicity 8)  2 Mo 2.05-2.14
O  0.2003  0.1589  0.4807 (multiplicity 8)  1 Mo 2.03

## Properties
As for the volume: 13.271 A^3/atom. The calculated density is 4.4 g cm⁻³. The calculation puts the total energy at -335.5 eV for the cell shown.